Computed, not measured: LaSm4Tm15 after structural relaxation at the GGA-PBE level of DFT.

Calculated values
Its space group is P4/mmm (123).

a = 4.9965 Å, b = 4.9965 Å, c = 24.8938 Å
α = 90.00°, β = 90.00°, γ = 90.00°
Last column: nearest neighbours and their distance in Å.
Sites, in units of the cell vectors:
Tm  0.0000  0.5000  0.1019  2 Sm 3.50, 8 Tm 3.52-3.56, 2 La 3.56
Tm  0.0000  0.5000  0.8981  2 Sm 3.50, 8 Tm 3.52-3.56, 2 La 3.56
Tm  0.5000  0.0000  0.6994  8 Tm 3.52-3.53, 4 Sm 3.52-3.53
Tm  0.5000  0.5000  0.2012  8 Tm 3.52, 4 Sm 3.53
Tm  0.5000  0.5000  0.0000  4 La 3.53, 8 Tm 3.56
Tm  0.5000  0.5000  0.4002  8 Tm 3.52, 4 Sm 3.53
Tm  0.5000  0.5000  0.7988  8 Tm 3.52, 4 Sm 3.53
Tm  0.0000  0.5000  0.6994  8 Tm 3.52-3.53, 4 Sm 3.52-3.53
Tm  0.5000  0.0000  0.5000  4 Sm 3.52, 8 Tm 3.52-3.53
Tm  0.5000  0.5000  0.5998  8 Tm 3.52, 4 Sm 3.53
Tm  0.5000  0.0000  0.8981  2 Sm 3.50, 8 Tm 3.52-3.56, 2 La 3.56
Tm  0.0000  0.5000  0.3006  8 Tm 3.52-3.53, 4 Sm 3.52-3.53
Tm  0.0000  0.5000  0.5000  4 Sm 3.52, 8 Tm 3.52-3.53
Tm  0.5000  0.0000  0.3006  8 Tm 3.52-3.53, 4 Sm 3.52-3.53
Tm  0.5000  0.0000  0.1019  2 Sm 3.50, 8 Tm 3.52-3.56, 2 La 3.56
Sm  0.0000  0.0000  0.4003  12 Tm 3.52-3.53
Sm  0.0000  0.0000  0.2006  12 Tm 3.50-3.53
Sm  0.0000  0.0000  0.5997  12 Tm 3.52-3.53
Sm  0.0000  0.0000  0.7994  12 Tm 3.50-3.53
La  0.0000  0.0000  0.0000  12 Tm 3.53-3.56

Computed, not measured: HgBiIr2 after structural relaxation at the GGA-PBE level of DFT.

Calculated values
Its space group is Fm-3m (225).

a = 4.7421 Å, b = 4.7421 Å, c = 4.7421 Å
α = 60.00°, β = 60.00°, γ = 60.00°
Last column: nearest neighbours and their distance in Å.
Sites, in units of the cell vectors:
Hg  0.0000  0.0000  0.0000  8 Ir 2.90
Ir  0.7500  0.7500  0.7500  4 Hg 2.90, 4 Bi 2.90
Ir  0.2500  0.2500  0.2500  4 Hg 2.90, 4 Bi 2.90
Bi  0.5000  0.5000  0.5000  8 Ir 2.90

Computed, not measured: Pu2Ge2Pd3 after structural relaxation at the GGA-PBE level of DFT.

Calculated values
Its space group is C2/m (12).

a = 3.4112 Å, b = 6.0508 Å, c = 7.4721 Å
α = 121.63°, β = 90.00°, γ = 106.37°
Last column: nearest neighbours and their distance in Å.
Sites, in units of the cell vectors:
Pd  0.4128  0.8257  0.5669  3 Ge 2.52-2.53, 2 Pd 2.70-2.81
Pd  0.5000  0.0000  0.0000  4 Ge 2.52, 2 Pd 2.81
Pd  0.5872  0.1743  0.4331  3 Ge 2.52-2.53, 2 Pd 2.70-2.81
Pu  0.8154  0.6308  0.1213  2 Pu 2.34
Pu  0.1846  0.3692  0.8787  2 Pu 2.34
Ge  0.8374  0.6748  0.7327  5 Pd 2.52-2.53
Ge  0.1626  0.3252  0.2673  5 Pd 2.52-2.53

What energy values result from the calculations? In sequence: -4.52; -4.90; -7.96 eV per atom.